{"formula": "ReMo3", "functional": "PBEsol", "state": "optimized geometry", "lattice_angstrom": [[-0.327, -0.746, -2.573], [-2.028, -0.978, 1.489], [-4.650, 7.315, -1.529]], "species": ["Re", "Mo", "Mo", "Mo"], "frac_coords": [[0.500, 0.500, 0.000], [0.000, 0.000, 0.751], [0.500, 0.500, 0.500], [0.000, 0.000, 0.249]], "dos_ef_per_ev_cell": 3.47, "vol_a3_per_cell": 60.4, "crystal_system": "orthorhombic", "formation_enthalpy_0k_ev_per_atom": 0.058, "final_energy_ev_per_atom": -12.101, "spacegroup": "Cmmm"}